No. 1
The following is a DFT calculation (PBE) of crystalline ReAs3C at its relaxed geometry.

Calculated values
Density of states at the Fermi level: 0.61 states/eV per atom
Offset from the most stable computed form: 0 meV/atom

Cell lengths 4.2318, 4.2318, 4.2318 Å; angles 90.00, 90.00, 90.00 degrees
Closest atoms and distances in Å follow each position.
Atoms (fractional coordinates):
Re 0.0000 0.0000 0.0000  12 As 2.99
As 0.0000 0.5000 0.5000  2 C 2.12
As 0.5000 0.0000 0.5000  2 C 2.12
As 0.5000 0.5000 0.0000  2 C 2.12
C 0.5000 0.5000 0.5000  6 As 2.12

---

No. 2
The following is a DFT calculation (PBE) of crystalline LaPm2Cu at its relaxed geometry.

Calculated values
Density of states at the Fermi level: 1.14 states/eV per atom
Offset from the most stable computed form: 0 meV/atom

Cell lengths 7.0492, 10.2215, 6.6269 Å; angles 90.00, 90.00, 90.00 degrees
Closest atoms and distances in Å follow each position.
Atoms (fractional coordinates):
La 0.0191 0.2500 0.1395  2 Cu 3.01-3.02
La 0.4809 0.7500 0.6395  2 Cu 3.01-3.02
La 0.5191 0.2500 0.3605  2 Cu 3.01-3.02
La 0.9809 0.7500 0.8605  2 Cu 3.01-3.02
Pm 0.1871 0.0583 0.6722  2 Cu 2.92-2.96
Pm 0.1871 0.4417 0.6722  2 Cu 2.92-2.96
Pm 0.3129 0.5583 0.1722  2 Cu 2.92-2.96
Pm 0.3129 0.9417 0.1722  2 Cu 2.92-2.96
Pm 0.6871 0.0583 0.8278  2 Cu 2.92-2.96
Pm 0.6871 0.4417 0.8278  2 Cu 2.92-2.96
Pm 0.8129 0.5583 0.3278  2 Cu 2.92-2.96
Pm 0.8129 0.9417 0.3278  2 Cu 2.92-2.96
Cu 0.1053 0.7500 0.4243  4 Pm 2.92-2.96, 2 La 3.01-3.02
Cu 0.3947 0.2500 0.9243  4 Pm 2.92-2.96, 2 La 3.01-3.02
Cu 0.6053 0.7500 0.0757  4 Pm 2.92-2.96, 2 La 3.01-3.02
Cu 0.8947 0.2500 0.5757  4 Pm 2.92-2.96, 2 La 3.01-3.02

---

No. 3
The following is a DFT calculation (PBE) of crystalline MgZnAg at its relaxed geometry.

Calculated values
Density of states at the Fermi level: 0.23 states/eV per atom
Offset from the most stable computed form: 61 meV/atom

Cell lengths 4.6161, 5.3747, 5.4374 Å; angles 64.27, 64.97, 64.58 degrees
Closest atoms and distances in Å follow each position.
Atoms (fractional coordinates):
Mg 0.1772 0.4048 0.2401  4 Zn 2.83-2.89, 4 Ag 2.89-3.06, 1 Mg 2.98
Mg 0.8228 0.5952 0.7599  4 Zn 2.83-2.89, 4 Ag 2.89-3.06, 1 Mg 2.98
Zn 0.1533 0.9297 0.7652  1 Zn 2.61, 3 Ag 2.72-2.78, 4 Mg 2.83-2.89
Zn 0.8467 0.0703 0.2348  1 Zn 2.61, 3 Ag 2.72-2.78, 4 Mg 2.83-2.89
Ag 0.4805 0.7649 0.2726  3 Zn 2.72-2.78, 2 Ag 2.84-2.94, 3 Mg 2.89-2.93
Ag 0.5195 0.2351 0.7274  3 Zn 2.72-2.78, 2 Ag 2.84-2.94, 3 Mg 2.89-2.93

---

Looking at spin magnetization for the records above, in order, we have 1.20 0.00 0.00 μB/f.u..